Arrangement one

Density functional theory data (PBE-GGA) for a relaxed NdTaS3 crystal.

Results
**Spin magnetization**: 0.00 μB/f.u.
**DOS at the Fermi energy**: 2.31 states/eV/f.u.
**Space group**: C2/m (12)
**Crystal system**: monoclinic

Cell: 8.4966 8.4966 7.4374 Å, 99.78 99.78 23.79°
Closest atoms and distances in Å follow each position.
Element x y z (fractional)
Nd 0.1915 0.1915 0.1990  7 S 2.75-3.05
Nd 0.8085 0.8085 0.8010  7 S 2.75-3.05
Ta 0.4166 0.4166 0.4207  7 S 2.48-2.71
Ta 0.5834 0.5834 0.5793  7 S 2.48-2.71
S 0.0255 0.0255 0.3212  4 Ta 2.65-2.71, 1 S 2.93
S 0.1891 0.1891 0.5794  2 Ta 2.48
S 0.3569 0.3569 0.0838  1 Ta 2.53, 2 Nd 2.75
S 0.6431 0.6431 0.9162  1 Ta 2.53, 2 Nd 2.75
S 0.8109 0.8109 0.4206  2 Ta 2.48
S 0.9745 0.9745 0.6788  4 Ta 2.65-2.71, 1 S 2.93

---

Arrangement two

Density functional theory data (PBE-GGA) for a relaxed NdTaS3 crystal.

Results
**Spin magnetization**: 0.00 μB/f.u.
**DOS at the Fermi energy**: 1.25 states/eV/f.u.
**Space group**: P-1 (2)
**Crystal system**: triclinic

Cell: 3.5209 5.8418 10.5579 Å, 92.91 99.57 90.04°
Closest atoms and distances in Å follow each position.
Element x y z (fractional)
Nd 0.0693 0.1672 0.1375  7 S 2.86-2.96
Nd 0.9307 0.8328 0.8625  7 S 2.86-2.96
Ta 0.2488 0.2915 0.4973  6 S 2.49-2.55
Ta 0.7512 0.7085 0.5027  6 S 2.49-2.55
S 0.1867 0.9034 0.3729  3 Ta 2.53-2.55
S 0.3316 0.6123 0.6641  3 Ta 2.49-2.52
S 0.4634 0.2247 0.9248  4 Nd 2.86-2.94, 1 S 3.12
S 0.5366 0.7753 0.0752  4 Nd 2.86-2.94, 1 S 3.12
S 0.6684 0.3877 0.3359  3 Ta 2.49-2.52
S 0.8133 0.0966 0.6271  3 Ta 2.53-2.55

---

In order of decreasing stability: arrangement two, arrangement one.

---

Arrangement one

Density functional theory data (PBE-GGA) for a relaxed TbNdS3 crystal.

Results
**Spin magnetization**: 0.00 μB/f.u.
**Space group**: P2_1/m (11)
**Crystal system**: monoclinic

Cell: 7.8777 3.9776 7.9018 Å, 90.00 94.34 90.00°
Closest atoms and distances in Å follow each position.
Element x y z (fractional)
Tb 0.1785 0.2500 0.1466  6 S 2.64-2.82
Tb 0.8215 0.7500 0.8534  6 S 2.64-2.82
Nd 0.2695 0.2500 0.6216  8 S 2.83-3.09
Nd 0.7305 0.7500 0.3784  8 S 2.83-3.09
S 0.1138 0.7500 0.3746  2 Tb 2.76, 3 Nd 2.98-3.02
S 0.1794 0.7500 0.9006  3 Tb 2.78-2.82, 2 Nd 3.09
S 0.4781 0.2500 0.3199  1 Tb 2.64, 2 Nd 2.83
S 0.5219 0.7500 0.6801  1 Tb 2.64, 2 Nd 2.83
S 0.8206 0.2500 0.0994  3 Tb 2.78-2.82, 2 Nd 3.09
S 0.8862 0.2500 0.6254  2 Tb 2.76, 3 Nd 2.98-3.02

---

Arrangement two

Density functional theory data (PBE-GGA) for a relaxed TbNdS3 crystal.

Results
**Spin magnetization**: 0.00 μB/f.u.
**Space group**: Pnma (62)
**Crystal system**: orthorhombic

Cell: 7.4184 4.0029 15.4434 Å, 90.00 90.00 90.00°
Closest atoms and distances in Å follow each position.
Element x y z (fractional)
Tb 0.2321 0.2500 0.0435  7 S 2.76-2.93
Tb 0.2679 0.7500 0.5435  7 S 2.76-2.93
Tb 0.7321 0.2500 0.4565  7 S 2.76-2.93
Tb 0.7679 0.7500 0.9565  7 S 2.76-2.93
Nd 0.1438 0.7500 0.2982  8 S 2.83-3.13
Nd 0.3562 0.2500 0.7982  8 S 2.83-3.13
Nd 0.6438 0.7500 0.2018  8 S 2.83-3.13
Nd 0.8562 0.2500 0.7018  8 S 2.83-3.13
S 0.0114 0.7500 0.1058  3 Tb 2.76-2.93
S 0.1251 0.2500 0.4367  3 Tb 2.80-2.93, 2 Nd 2.93, 1 S 3.11
S 0.1482 0.7500 0.7162  1 Tb 2.81, 4 Nd 2.83-2.96, 1 S 3.11
S 0.3518 0.2500 0.2162  1 Tb 2.81, 4 Nd 2.83-2.96, 1 S 3.11
S 0.3749 0.7500 0.9367  3 Tb 2.80-2.93, 2 Nd 2.93, 1 S 3.11
S 0.4886 0.2500 0.6058  3 Tb 2.76-2.93
S 0.5114 0.7500 0.3942  3 Tb 2.76-2.93
S 0.6251 0.2500 0.0633  3 Tb 2.80-2.93, 2 Nd 2.93, 1 S 3.11
S 0.6482 0.7500 0.7838  1 Tb 2.81, 4 Nd 2.83-2.96, 1 S 3.11
S 0.8518 0.2500 0.2838  1 Tb 2.81, 4 Nd 2.83-2.96, 1 S 3.11
S 0.8749 0.7500 0.5633  3 Tb 2.80-2.93, 2 Nd 2.93, 1 S 3.11
S 0.9886 0.2500 0.8942  3 Tb 2.76-2.93

---

In order of decreasing stability: arrangement two, arrangement one.

---

Arrangement one

Density functional theory data (PBE-GGA) for a relaxed TbNd6S8 crystal.

Results
**Spin magnetization**: 0.00 μB/f.u.
**DOS at the Fermi energy**: 6.98 states/eV/f.u.
**Space group**: Fm-3m (225)
**Crystal system**: cubic

Cell: 8.1088 8.1088 8.1088 Å, 60.00 60.00 60.00°
Closest atoms and distances in Å follow each position.
Element x y z (fractional)
Tb 0.0000 0.0000 0.0000  6 S 2.79
Nd 0.0000 0.0000 0.5000  6 S 2.87
Nd 0.0000 0.5000 0.0000  6 S 2.87
Nd 0.0000 0.5000 0.5000  6 S 2.87
Nd 0.5000 0.0000 0.0000  6 S 2.87
Nd 0.5000 0.0000 0.5000  6 S 2.87
Nd 0.5000 0.5000 0.0000  6 S 2.87
S 0.2436 0.2436 0.7564  1 Tb 2.79, 4 Nd 2.87
S 0.2436 0.7564 0.2436  1 Tb 2.79, 4 Nd 2.87
S 0.2436 0.7564 0.7564  1 Tb 2.79, 4 Nd 2.87
S 0.2500 0.2500 0.2500  6 Nd 2.87
S 0.7500 0.7500 0.7500  6 Nd 2.87
S 0.7564 0.2436 0.2436  1 Tb 2.79, 4 Nd 2.87
S 0.7564 0.2436 0.7564  1 Tb 2.79, 4 Nd 2.87
S 0.7564 0.7564 0.2436  1 Tb 2.79, 4 Nd 2.87

---

Arrangement two

Density functional theory data (PBE-GGA) for a relaxed TbNd6S8 crystal.

Results
**Spin magnetization**: 0.00 μB/f.u.
**DOS at the Fermi energy**: 8.07 states/eV/f.u.
**Space group**: R-3 (148)
**Crystal system**: trigonal

Cell: 8.1204 8.1204 8.1204 Å, 98.28 98.28 98.28°
Closest atoms and distances in Å follow each position.
Element x y z (fractional)
Tb 0.0000 0.0000 0.0000  2 S 2.62
Nd 0.1805 0.3543 0.5546  5 S 2.76-2.85
Nd 0.3543 0.5546 0.1805  5 S 2.76-2.85
Nd 0.4454 0.8195 0.6457  5 S 2.76-2.85
Nd 0.5546 0.1805 0.3543  5 S 2.76-2.85
Nd 0.6457 0.4454 0.8195  5 S 2.76-2.85
Nd 0.8195 0.6457 0.4454  5 S 2.76-2.85
S 0.1563 0.6555 0.4189  4 Nd 2.76-2.84
S 0.2208 0.2208 0.2208  1 Tb 2.62, 3 Nd 2.85
S 0.3445 0.5811 0.8437  4 Nd 2.76-2.84
S 0.4189 0.1563 0.6555  4 Nd 2.76-2.84
S 0.5811 0.8437 0.3445  4 Nd 2.76-2.84
S 0.6555 0.4189 0.1563  4 Nd 2.76-2.84
S 0.7792 0.7792 0.7792  1 Tb 2.62, 3 Nd 2.85
S 0.8437 0.3445 0.5811  4 Nd 2.76-2.84

---

In order of decreasing stability: arrangement one, arrangement two.

---

Arrangement one

Density functional theory data (PBE-GGA) for a relaxed Nd4Te3S crystal.

Results
**Spin magnetization**: 0.00 μB/f.u.
**DOS at the Fermi energy**: 3.47 states/eV/f.u.
**Space group**: Cmmm (65)
**Crystal system**: orthorhombic

Cell: 7.6795 7.6795 4.3380 Å, 90.00 90.00 108.98°
Closest atoms and distances in Å follow each position.
Element x y z (fractional)
Nd 0.2159 0.2159 0.5000  2 S 2.90, 2 Te 3.14
Nd 0.2269 0.7731 0.0000  1 S 2.84, 4 Te 3.12
Nd 0.7731 0.2269 0.0000  1 S 2.84, 4 Te 3.12
Nd 0.7841 0.7841 0.5000  2 S 2.90, 2 Te 3.14
Te 0.0000 0.5000 0.5000  6 Nd 3.12-3.14
Te 0.5000 0.0000 0.5000  6 Nd 3.12-3.14
Te 0.5000 0.5000 0.0000  6 Nd 3.34-3.41
S 0.0000 0.0000 0.0000  6 Nd 2.84-2.90

---

Arrangement two

Density functional theory data (PBE-GGA) for a relaxed Nd4Te3S crystal.

Results
**Spin magnetization**: 0.00 μB/f.u.
**DOS at the Fermi energy**: 3.77 states/eV/f.u.
**Space group**: Pmmn (59)
**Crystal system**: orthorhombic

Cell: 6.1357 12.3036 6.4579 Å, 90.00 90.00 90.00°
Closest atoms and distances in Å follow each position.
Element x y z (fractional)
Nd 0.2500 0.0193 0.2025  1 S 2.85, 3 Te 3.13-3.19
Nd 0.2500 0.2500 0.7909  1 S 2.88, 4 Te 3.12
Nd 0.2500 0.4807 0.2025  1 S 2.85, 3 Te 3.13-3.19
Nd 0.2500 0.7500 0.8007  2 S 3.08, 4 Te 3.13-3.27
Nd 0.7500 0.2500 0.1993  2 S 3.08, 4 Te 3.13-3.27
Nd 0.7500 0.5193 0.7975  1 S 2.85, 3 Te 3.13-3.19
Nd 0.7500 0.7500 0.2091  1 S 2.88, 4 Te 3.12
Nd 0.7500 0.9807 0.7975  1 S 2.85, 3 Te 3.13-3.19
Te 0.2500 0.9996 0.7106  6 Nd 3.12-3.29
Te 0.2500 0.5004 0.7106  6 Nd 3.12-3.29
Te 0.2500 0.7500 0.2942  6 Nd 3.12-3.37
Te 0.7500 0.0004 0.2894  6 Nd 3.12-3.29
Te 0.7500 0.2500 0.7058  6 Nd 3.12-3.37
Te 0.7500 0.4996 0.2894  6 Nd 3.12-3.29
S 0.2500 0.2500 0.2372  5 Nd 2.85-3.08
S 0.7500 0.7500 0.7628  5 Nd 2.85-3.08

---

In order of decreasing stability: arrangement one, arrangement two.